[1]
# SmDy2Al | the Alexandria database | PBE | relaxed
# Energy of formation from the pure elements ... -0.192 eV/atom
# D(E_F) ... 7.9 states/eV/cell
# Energy relative to the lowest polymorph listed for this composition ... 0.0000 eV per atom
data_SmDy2Al
_chemical_formula_sum 'Sm2 Dy4 Al2'
_cell_length_a 5.301
_cell_length_b 6.897
_cell_length_c 6.897
_cell_angle_alpha 119.94
_cell_angle_beta 90.00
_cell_angle_gamma 90.00
_symmetry_space_group_name_H-M 'P 1'
_symmetry_Int_Tables_number 1
_symmetry_space_group_name_Hall 'P 1'
loop_
_atom_site_label
_atom_site_type_symbol
_atom_site_fract_x
_atom_site_fract_y
_atom_site_fract_z
_atom_site_occupancy
Dy1 Dy 0.000 0.825 0.175 1
Dy2 Dy 0.500 0.176 0.824 1
Sm1 Sm 0.500 0.177 0.353 1
Al1 Al 0.000 0.331 0.669 1
Dy3 Dy 0.000 0.352 0.174 1
Dy4 Dy 0.000 0.826 0.648 1
Al2 Al 0.500 0.667 0.333 1
Sm2 Sm 0.500 0.647 0.823 1

=====

[2]
# PmGeSb | the Alexandria database | PBE | relaxed
# Formation energy without anion corrections ... -0.18 eV/atom
# D(E_F) ... 2.6 states/eV/cell
# Energy relative to the lowest polymorph listed for this composition ... 0.5873 eV per atom
data_PmGeSb
_chemical_formula_sum 'Pm1 Ge1 Sb1'
_cell_length_a 5.077
_cell_length_b 5.077
_cell_length_c 5.077
_cell_angle_alpha 60.00
_cell_angle_beta 60.00
_cell_angle_gamma 60.00
_symmetry_space_group_name_H-M 'P 1'
_symmetry_Int_Tables_number 1
_symmetry_space_group_name_Hall 'P 1'
loop_
_atom_site_label
_atom_site_type_symbol
_atom_site_fract_x
_atom_site_fract_y
_atom_site_fract_z
_atom_site_occupancy
Sb1 Sb 0.500 0.500 0.500 1
Ge1 Ge 0.000 0.000 0.000 1
Pm1 Pm 0.250 0.250 0.250 1

=====

[3]
# Ba3LiNd2Se6 | the Alexandria database | PBE | relaxed
# Formation energy without anion corrections ... -1.84 eV/atom
# D(E_F) ... 3.7 states/eV/cell
data_Ba3LiNd2Se6
_chemical_formula_sum 'Ba3 Li1 Nd2 Se6'
_cell_length_a 7.663
_cell_length_b 7.663
_cell_length_c 7.778
_cell_angle_alpha 99.42
_cell_angle_beta 99.42
_cell_angle_gamma 120.00
_symmetry_space_group_name_H-M 'P 1'
_symmetry_Int_Tables_number 1
_symmetry_space_group_name_Hall 'P 1'
loop_
_atom_site_label
_atom_site_type_symbol
_atom_site_fract_x
_atom_site_fract_y
_atom_site_fract_z
_atom_site_occupancy
Se1 Se 0.926 0.591 0.779 1
Se2 Se 0.262 0.262 0.782 1
Li1 Li 0.000 0.000 0.000 1
Nd1 Nd 0.333 0.667 0.000 1
Se3 Se 0.074 0.409 0.221 1
Ba1 Ba 0.165 0.835 0.500 1
Ba2 Ba 0.500 0.500 0.500 1
Se4 Se 0.738 0.738 0.218 1
Se5 Se 0.591 0.926 0.779 1
Se6 Se 0.409 0.074 0.221 1
Ba3 Ba 0.835 0.165 0.500 1
Nd2 Nd 0.667 0.333 0.000 1

=====

[4]
# Sm3Cd2Ag2 | the Alexandria database | PBE | relaxed
# Energy of formation from the pure elements ... -0.279 eV/atom
# D(E_F) ... 5.5 states/eV/cell
data_Sm3Cd2Ag2
_chemical_formula_sum 'Sm3 Cd2 Ag2'
_cell_length_a 4.618
_cell_length_b 3.507
_cell_length_c 11.285
_cell_angle_alpha 90.00
_cell_angle_beta 78.19
_cell_angle_gamma 90.00
_symmetry_space_group_name_H-M 'P 1'
_symmetry_Int_Tables_number 1
_symmetry_space_group_name_Hall 'P 1'
loop_
_atom_site_label
_atom_site_type_symbol
_atom_site_fract_x
_atom_site_fract_y
_atom_site_fract_z
_atom_site_occupancy
Sm1 Sm 0.160 0.000 0.680 1
Sm2 Sm 0.840 0.000 0.320 1
Sm3 Sm 0.000 0.000 0.000 1
Ag1 Ag 0.286 0.500 0.429 1
Cd1 Cd 0.423 0.500 0.154 1
Cd2 Cd 0.577 0.500 0.846 1
Ag2 Ag 0.714 0.500 0.571 1

=====

[5]
# Sc3Sb2Pd | the Alexandria database | PBE | relaxed
# Formation energy without anion corrections ... -0.86 eV/atom
# D(E_F) ... 19.6 states/eV/cell
data_Sc3Sb2Pd
_chemical_formula_sum 'Sc12 Sb8 Pd4'
_cell_length_a 4.246
_cell_length_b 11.039
_cell_length_c 11.488
_cell_angle_alpha 90.00
_cell_angle_beta 90.00
_cell_angle_gamma 90.00
_symmetry_space_group_name_H-M 'P 1'
_symmetry_Int_Tables_number 1
_symmetry_space_group_name_Hall 'P 1'
loop_
_atom_site_label
_atom_site_type_symbol
_atom_site_fract_x
_atom_site_fract_y
_atom_site_fract_z
_atom_site_occupancy
Sb1 Sb 0.750 0.186 0.002 1
Sb2 Sb 0.250 0.514 0.816 1
Sc1 Sc 0.750 0.937 0.130 1
Sc2 Sc 0.250 0.437 0.370 1
Pd1 Pd 0.250 0.143 0.139 1
Sc3 Sc 0.750 0.303 0.780 1
Sc4 Sc 0.750 0.563 0.630 1
Sc5 Sc 0.750 0.875 0.459 1
Sc6 Sc 0.250 0.697 0.220 1
Sc7 Sc 0.250 0.125 0.541 1
Sb3 Sb 0.750 0.314 0.502 1
Sc8 Sc 0.750 0.197 0.280 1
Sc9 Sc 0.250 0.063 0.870 1
Sb4 Sb 0.250 0.686 0.498 1
Sb5 Sb 0.750 0.014 0.684 1
Sb6 Sb 0.250 0.814 0.998 1
Sc10 Sc 0.750 0.625 0.959 1
Sc11 Sc 0.250 0.803 0.720 1
Sb7 Sb 0.750 0.486 0.184 1
Pd2 Pd 0.250 0.357 0.639 1
Pd3 Pd 0.750 0.643 0.361 1
Sb8 Sb 0.250 0.986 0.316 1
Sc12 Sc 0.250 0.375 0.041 1
Pd4 Pd 0.750 0.857 0.861 1

=====

[6]
# Pm3Si2GePd9 | the Alexandria database | PBE | relaxed
# Formation energy without anion corrections ... -0.64 eV/atom
# D(E_F) ... 8.3 states/eV/cell
data_Pm3Si2GePd9
_chemical_formula_sum 'Pm3 Si2 Ge1 Pd9'
_cell_length_a 6.415
_cell_length_b 6.415
_cell_length_c 8.598
_cell_angle_alpha 90.00
_cell_angle_beta 90.00
_cell_angle_gamma 120.00
_symmetry_space_group_name_H-M 'P 1'
_symmetry_Int_Tables_number 1
_symmetry_space_group_name_Hall 'P 1'
loop_
_atom_site_label
_atom_site_type_symbol
_atom_site_fract_x
_atom_site_fract_y
_atom_site_fract_z
_atom_site_occupancy
Pd1 Pd 0.500 0.500 0.000 1
Pd2 Pd 0.147 0.294 0.286 1
Si1 Si 0.667 0.333 0.823 1
Pd3 Pd 0.147 0.853 0.286 1
Pd4 Pd 0.706 0.853 0.286 1
Pm1 Pm 0.333 0.667 0.678 1
Si2 Si 0.333 0.667 0.177 1
Pd5 Pd 0.853 0.147 0.714 1
Pm2 Pm 0.000 0.000 0.000 1
Pm3 Pm 0.667 0.333 0.322 1
Pd6 Pd 0.000 0.500 0.000 1
Ge1 Ge 0.000 0.000 0.500 1
Pd7 Pd 0.853 0.706 0.714 1
Pd8 Pd 0.500 0.000 0.000 1
Pd9 Pd 0.294 0.147 0.714 1

=====

[7]
# Pm6Pr16Er7 | the Alexandria database | PBE | relaxed
# Energy of formation from the pure elements ... 0.198 eV/atom
# D(E_F) ... 54.8 states/eV/cell
data_Pm6Pr16Er7
_chemical_formula_sum 'Pm6 Pr16 Er7'
_cell_length_a 11.352
_cell_length_b 11.352
_cell_length_c 11.352
_cell_angle_alpha 60.00
_cell_angle_beta 60.00
_cell_angle_gamma 60.00
_symmetry_space_group_name_H-M 'P 1'
_symmetry_Int_Tables_number 1
_symmetry_space_group_name_Hall 'P 1'
loop_
_atom_site_label
_atom_site_type_symbol
_atom_site_fract_x
_atom_site_fract_y
_atom_site_fract_z
_atom_site_occupancy
Pm1 Pm 0.292 0.708 0.292 1
Pr1 Pr 0.347 0.960 0.347 1
Pr2 Pr 0.347 0.347 0.960 1
Pr3 Pr 0.365 0.878 0.878 1
Pr4 Pr 0.878 0.365 0.878 1
Pr5 Pr 0.960 0.347 0.347 1
Er1 Er 0.500 0.000 0.000 1
Pr6 Pr 0.653 0.653 0.653 1
Pm2 Pm 0.708 0.708 0.292 1
Pm3 Pm 0.708 0.292 0.708 1
Pm4 Pm 0.292 0.708 0.708 1
Pr7 Pr 0.040 0.653 0.653 1
Pm5 Pm 0.292 0.292 0.708 1
Pr8 Pr 0.878 0.878 0.365 1
Pr9 Pr 0.653 0.040 0.653 1
Er2 Er 0.000 0.000 0.500 1
Pr10 Pr 0.122 0.122 0.122 1
Pr11 Pr 0.347 0.347 0.347 1
Er3 Er 0.000 0.000 0.000 1
Er4 Er 0.000 0.500 0.000 1
Pr12 Pr 0.878 0.878 0.878 1
Er5 Er 0.000 0.500 0.500 1
Pr13 Pr 0.122 0.635 0.122 1
Pm6 Pm 0.708 0.292 0.292 1
Pr14 Pr 0.122 0.122 0.635 1
Er6 Er 0.500 0.500 0.000 1
Er7 Er 0.500 0.000 0.500 1
Pr15 Pr 0.653 0.653 0.040 1
Pr16 Pr 0.635 0.122 0.122 1

=====

[8]
# TbPm3Tl4S8 | the Alexandria database | PBE | relaxed
# Formation energy without anion corrections ... -1.47 eV/atom
# D(E_F) ... 0.0 states/eV/cell
data_TbPm3Tl4S8
_chemical_formula_sum 'Tb1 Pm3 Tl4 S8'
_cell_length_a 8.250
_cell_length_b 8.890
_cell_length_c 8.251
_cell_angle_alpha 117.66
_cell_angle_beta 120.00
_cell_angle_gamma 90.00
_symmetry_space_group_name_H-M 'P 1'
_symmetry_Int_Tables_number 1
_symmetry_space_group_name_Hall 'P 1'
loop_
_atom_site_label
_atom_site_type_symbol
_atom_site_fract_x
_atom_site_fract_y
_atom_site_fract_z
_atom_site_occupancy
S1 S 0.231 0.701 0.462 1
S2 S 0.231 0.701 0.970 1
S3 S 0.769 0.299 0.538 1
S4 S 0.739 0.701 0.970 1
S5 S 0.265 0.296 0.531 1
Tl1 Tl 0.500 0.000 0.000 1
Tl2 Tl 0.000 0.000 0.000 1
Tl3 Tl 0.000 0.000 0.500 1
Pm1 Pm 0.000 0.500 0.500 1
Tl4 Tl 0.500 0.000 0.500 1
Pm2 Pm 0.500 0.500 0.500 1
Tb1 Tb 0.000 0.500 0.000 1
S6 S 0.735 0.704 0.469 1
S7 S 0.261 0.299 0.030 1
Pm3 Pm 0.500 0.500 0.000 1
S8 S 0.769 0.299 0.030 1

=====

[9]
# Cs3TaBr | the Alexandria database | PBE | relaxed
# Formation energy without anion corrections ... 0.66 eV/atom
# D(E_F) ... 2.6 states/eV/cell
data_Cs3TaBr
_chemical_formula_sum 'Cs3 Ta1 Br1'
_cell_length_a 7.059
_cell_length_b 7.059
_cell_length_c 7.059
_cell_angle_alpha 90.00
_cell_angle_beta 90.00
_cell_angle_gamma 90.00
_symmetry_space_group_name_H-M 'P 1'
_symmetry_Int_Tables_number 1
_symmetry_space_group_name_Hall 'P 1'
loop_
_atom_site_label
_atom_site_type_symbol
_atom_site_fract_x
_atom_site_fract_y
_atom_site_fract_z
_atom_site_occupancy
Cs1 Cs 0.000 0.000 0.500 1
Ta1 Ta 0.000 0.000 0.000 1
Cs2 Cs 0.000 0.500 0.000 1
Br1 Br 0.500 0.500 0.500 1
Cs3 Cs 0.500 0.000 0.000 1

=====

- Look up the D(E_F) of the third one.
  3.7 states/eV/cell

=====

Copy entry 6 word for word.
# Pm3Si2GePd9 | the Alexandria database | PBE | relaxed
# Formation energy without anion corrections ... -0.64 eV/atom
# D(E_F) ... 8.3 states/eV/cell
data_Pm3Si2GePd9
_chemical_formula_sum 'Pm3 Si2 Ge1 Pd9'
_cell_length_a 6.415
_cell_length_b 6.415
_cell_length_c 8.598
_cell_angle_alpha 90.00
_cell_angle_beta 90.00
_cell_angle_gamma 120.00
_symmetry_space_group_name_H-M 'P 1'
_symmetry_Int_Tables_number 1
_symmetry_space_group_name_Hall 'P 1'
loop_
_atom_site_label
_atom_site_type_symbol
_atom_site_fract_x
_atom_site_fract_y
_atom_site_fract_z
_atom_site_occupancy
Pd1 Pd 0.500 0.500 0.000 1
Pd2 Pd 0.147 0.294 0.286 1
Si1 Si 0.667 0.333 0.823 1
Pd3 Pd 0.147 0.853 0.286 1
Pd4 Pd 0.706 0.853 0.286 1
Pm1 Pm 0.333 0.667 0.678 1
Si2 Si 0.333 0.667 0.177 1
Pd5 Pd 0.853 0.147 0.714 1
Pm2 Pm 0.000 0.000 0.000 1
Pm3 Pm 0.667 0.333 0.322 1
Pd6 Pd 0.000 0.500 0.000 1
Ge1 Ge 0.000 0.000 0.500 1
Pd7 Pd 0.853 0.706 0.714 1
Pd8 Pd 0.500 0.000 0.000 1
Pd9 Pd 0.294 0.147 0.714 1

=====

- Which formula does entry 7 have?
  Pm6Pr16Er7

=====

What did the second record say?
# PmGeSb | the Alexandria database | PBE | relaxed
# Formation energy without anion corrections ... -0.18 eV/atom
# D(E_F) ... 2.6 states/eV/cell
# Energy relative to the lowest polymorph listed for this composition ... 0.5873 eV per atom
data_PmGeSb
_chemical_formula_sum 'Pm1 Ge1 Sb1'
_cell_length_a 5.077
_cell_length_b 5.077
_cell_length_c 5.077
_cell_angle_alpha 60.00
_cell_angle_beta 60.00
_cell_angle_gamma 60.00
_symmetry_space_group_name_H-M 'P 1'
_symmetry_Int_Tables_number 1
_symmetry_space_group_name_Hall 'P 1'
loop_
_atom_site_label
_atom_site_type_symbol
_atom_site_fract_x
_atom_site_fract_y
_atom_site_fract_z
_atom_site_occupancy
Sb1 Sb 0.500 0.500 0.500 1
Ge1 Ge 0.000 0.000 0.000 1
Pm1 Pm 0.250 0.250 0.250 1